No. 1
Computed, not measured: a geometry-optimized La2TbPrSe5 structure at the PBE level of DFT.

Output
As for the space group: P4/mmm, No. 123. The density of states at the Fermi level is 5.03 states/eV/cell. The value obtained for the electronic total energy is -5.501 eV/atom.

Lattice parameters (Å, degrees): 5.170 5.170 11.072 90.00 90.00 90.00
Last column: magnetic moment on the atom in μB.
Sites, in units of the cell vectors:
1 La 0.500 0.500 0.322  0.24
2 La 0.500 0.500 0.678  0.24
3 Tb 0.000 0.000 0.500  0.02
4 Pr 0.000 0.000 0.000  0.01
5 Se 0.000 0.500 0.500  -0.01
6 Se 0.500 0.000 0.500  -0.01
7 Se 0.000 0.000 0.750  0.00
8 Se 0.000 0.000 0.250  0.00
9 Se 0.500 0.500 0.000  0.00

No. 2
Computed, not measured: a geometry-optimized SiMoS2N structure at the PBE level of DFT.

Output
As for the excess energy over the best structure of this formula in the dataset: 1.451 eV/atom. As for the space group: P4/mmm, No. 123. The density of states at the Fermi level is 3.67 states/eV/cell.

Lattice parameters (Å, degrees): 4.292 5.082 4.292 90.00 90.00 90.00
Last column: magnetic moment on the atom in μB.
Sites, in units of the cell vectors:
1 Mo 0.000 0.500 0.000  2.65
2 Si 0.000 0.000 0.000  -0.03
3 S 0.000 0.000 0.500  -0.08
4 S 0.500 0.000 0.000  -0.03
5 N 0.500 0.500 0.500  0.08

> What is the formula in the second record?

SiMoS2N